The following is a GGA-PBE calculation of crystalline Zr2AgO2 at its relaxed geometry, from Alexandria via LeMat-Bulk.

abc: 5.924 5.924 5.924
angles: 142.27 142.27 54.43
Atoms (fractional coordinates):
Zr (0.149, 0.149, 0.000)
Zr (0.851, 0.851, 0.000)
Ag (0.500, 0.500, 0.000)
O (0.250, 0.750, 0.500)
O (0.750, 0.250, 0.500)

Summary:
For the raw total energy, the calculation gives -39.459 eV per cell. Its magnetic moment is 0.00 μB/f.u.

---

The following is a GGA-PBE calculation of crystalline Zn4Pb5 at its relaxed geometry, from Alexandria via LeMat-Bulk.

abc: 8.815 8.815 6.838
angles: 90.00 90.00 120.00
Atoms (fractional coordinates):
Zn (0.000, 0.000, 0.000)
Zn (0.000, 0.000, 0.500)
Zn (0.000, 0.379, 0.250)
Zn (0.000, 0.621, 0.750)
Zn (0.379, 0.000, 0.250)
Zn (0.379, 0.379, 0.750)
Zn (0.621, 0.000, 0.750)
Zn (0.621, 0.621, 0.250)
Pb (0.000, 0.279, 0.750)
Pb (0.000, 0.721, 0.250)
Pb (0.279, 0.000, 0.750)
Pb (0.279, 0.279, 0.250)
Pb (0.333, 0.667, 0.000)
Pb (0.333, 0.667, 0.500)
Pb (0.667, 0.333, 0.000)
Pb (0.667, 0.333, 0.500)
Pb (0.721, 0.000, 0.250)
Pb (0.721, 0.721, 0.750)

Summary:
The formation energy is 0.177 eV/atom. Its magnetic moment is 0.00 μB/f.u. As for the energy above the most stable polymorph in this dataset: 0.0111 eV/atom.

---

The following is a GGA-PBE calculation of crystalline Pm8GeIr3I4 at its relaxed geometry, from Alexandria via LeMat-Bulk.

abc: 9.366 9.366 9.366
angles: 54.01 54.01 54.01
Atoms (fractional coordinates):
Pm (0.215, 0.735, 0.735)
Pm (0.229, 0.229, 0.229)
Pm (0.265, 0.265, 0.785)
Pm (0.265, 0.785, 0.265)
Pm (0.735, 0.215, 0.735)
Pm (0.735, 0.735, 0.215)
Pm (0.771, 0.771, 0.771)
Pm (0.785, 0.265, 0.265)
Ge (0.500, 0.500, 0.500)
Ir (0.000, 0.000, 0.500)
Ir (0.000, 0.500, 0.000)
Ir (0.500, 0.000, 0.000)
I (0.000, 0.000, 0.000)
I (0.000, 0.500, 0.500)
I (0.500, 0.000, 0.500)
I (0.500, 0.500, 0.000)

Summary:
For the raw total energy, the calculation gives -90.555 eV per cell. Its magnetic moment is 0.00 μB/f.u.

---

The following is a GGA-PBE calculation of crystalline ReP3 at its relaxed geometry, from Alexandria via LeMat-Bulk.

abc: 15.449 3.145 5.163
angles: 90.00 90.00 90.00
Atoms (fractional coordinates):
Re (0.150, 0.250, 0.150)
Re (0.350, 0.750, 0.650)
Re (0.650, 0.250, 0.350)
Re (0.850, 0.750, 0.850)
P (0.013, 0.250, 0.353)
P (0.118, 0.750, 0.820)
P (0.207, 0.750, 0.478)
P (0.293, 0.250, 0.978)
P (0.382, 0.250, 0.320)
P (0.487, 0.750, 0.853)
P (0.513, 0.250, 0.147)
P (0.618, 0.750, 0.680)
P (0.707, 0.750, 0.022)
P (0.793, 0.250, 0.522)
P (0.882, 0.250, 0.180)
P (0.987, 0.750, 0.647)

Summary:
The formation energy is -0.335 eV/atom. Its magnetic moment is 0.00 μB/f.u. As for the energy above the most stable polymorph in this dataset: 0.0000 eV/atom.

---

The following is a GGA-PBE calculation of crystalline Pu2Si3Ni12Pt at its relaxed geometry, from Alexandria via LeMat-Bulk.

abc: 6.270 6.270 6.270
angles: 84.64 84.64 84.64
Atoms (fractional coordinates):
Pu (0.140, 0.140, 0.140)
Pu (0.860, 0.860, 0.860)
Si (0.000, 0.500, 0.500)
Si (0.500, 0.000, 0.500)
Si (0.500, 0.500, 0.000)
Ni (0.119, 0.119, 0.582)
Ni (0.119, 0.582, 0.119)
Ni (0.189, 0.694, 0.694)
Ni (0.306, 0.306, 0.811)
Ni (0.306, 0.811, 0.306)
Ni (0.418, 0.881, 0.881)
Ni (0.582, 0.119, 0.119)
Ni (0.694, 0.189, 0.694)
Ni (0.694, 0.694, 0.189)
Ni (0.811, 0.306, 0.306)
Ni (0.881, 0.418, 0.881)
Ni (0.881, 0.881, 0.418)
Pt (0.500, 0.500, 0.500)

Summary:
For the raw total energy, the calculation gives -120.815 eV per cell. Its magnetic moment is 8.64 μB/f.u.

---

The following is a GGA-PBE calculation of crystalline CeYSb at its relaxed geometry, from Alexandria via LeMat-Bulk.

abc: 5.130 5.130 4.020
angles: 90.00 90.00 120.00
Atoms (fractional coordinates):
Ce (0.000, 0.000, 0.000)
Y (0.333, 0.667, 0.480)
Sb (0.667, 0.333, 0.590)

Summary:
For the raw total energy, the calculation gives -17.756 eV per cell. Its magnetic moment is 1.70 μB/f.u.